[1]
! Ho3ErSn2C2 | OQMD via LeMat-Bulk | PBE | relaxed; values from VASP
! - VASP energy: -49.3 eV for the cell shown
! - Space-group type: P3m1 (156)
&SYSTEM
  ibrav = 0, nat = 8, ntyp = 4
/
ATOMIC_SPECIES
Ho 164.93 Ho.upf
Er 167.26 Er.upf
Sn 118.71 Sn.upf
C 12.01 C.upf
CELL_PARAMETERS angstrom
3.5971 0.0000 0.0000
-1.7986 3.1152 0.0000
0.0000 0.0000 15.7561
ATOMIC_POSITIONS crystal
Ho 0.0000 0.0000 0.0000
Ho 0.0000 0.0000 0.3311
Ho 0.3333 0.6667 0.5004
Er 0.3333 0.6667 0.8314
Sn 0.0000 0.0000 0.6661
Sn 0.3333 0.6667 0.1657
C 0.6667 0.3333 0.4158
C 0.6667 0.3333 0.9153

***

[2]
! HoErTeC | OQMD via LeMat-Bulk | PBE | relaxed; values from VASP
! - VASP energy: -50.1 eV for the cell shown
! - Space-group type: P-6m2 (187)
&SYSTEM
  ibrav = 0, nat = 8, ntyp = 4
/
ATOMIC_SPECIES
Ho 164.93 Ho.upf
Er 167.26 Er.upf
Te 127.60 Te.upf
C 12.01 C.upf
CELL_PARAMETERS angstrom
3.8001 0.0000 0.0000
-1.9000 3.2910 0.0000
0.0000 0.0000 13.9556
ATOMIC_POSITIONS crystal
Ho 0.0000 0.0000 0.1574
Ho 0.0000 0.0000 0.8426
Er 0.6667 0.3333 0.3426
Er 0.6667 0.3333 0.6574
Te 0.0000 0.0000 0.5000
Te 0.6667 0.3333 0.0000
C 0.3333 0.6667 0.2501
C 0.3333 0.6667 0.7499

***

[3]
! HoErTeC | OQMD via LeMat-Bulk | PBE | relaxed; values from VASP
! - VASP energy: -50.1 eV for the cell shown
! - Space-group type: P-3m1 (164)
&SYSTEM
  ibrav = 0, nat = 8, ntyp = 4
/
ATOMIC_SPECIES
Ho 164.93 Ho.upf
Er 167.26 Er.upf
Te 127.60 Te.upf
C 12.01 C.upf
CELL_PARAMETERS angstrom
3.8002 0.0000 0.0000
-1.9001 3.2911 0.0000
0.0000 0.0000 13.9557
ATOMIC_POSITIONS crystal
Ho 0.3333 0.6667 0.0927
Ho 0.6667 0.3333 0.9073
Er 0.3333 0.6667 0.4075
Er 0.6667 0.3333 0.5925
Te 0.3333 0.6667 0.7498
Te 0.6667 0.3333 0.2502
C 0.0000 0.0000 0.0000
C 0.0000 0.0000 0.5000

***

[4]
! HoErTeC | OQMD via LeMat-Bulk | PBE | relaxed; values from VASP
! - VASP energy: -50.1 eV for the cell shown
! - Space-group type: P6_3mc (186)
&SYSTEM
  ibrav = 0, nat = 8, ntyp = 4
/
ATOMIC_SPECIES
Ho 164.93 Ho.upf
Er 167.26 Er.upf
Te 127.60 Te.upf
C 12.01 C.upf
CELL_PARAMETERS angstrom
3.8002 0.0000 0.0000
-1.9001 3.2910 0.0000
0.0000 0.0000 13.9559
ATOMIC_POSITIONS crystal
Ho 0.3333 0.6667 0.0000
Ho 0.6667 0.3333 0.5000
Er 0.3333 0.6667 0.6853
Er 0.6667 0.3333 0.1853
Te 0.3333 0.6667 0.3424
Te 0.6667 0.3333 0.8424
C 0.0000 0.0000 0.0927
C 0.0000 0.0000 0.5927

***

[5]
! Ho3ErTl2C2 | OQMD via LeMat-Bulk | PBE | relaxed; values from VASP
! - VASP energy: -44.6 eV for the cell shown
! - Space-group type: P3m1 (156)
&SYSTEM
  ibrav = 0, nat = 8, ntyp = 4
/
ATOMIC_SPECIES
Ho 164.93 Ho.upf
Er 167.26 Er.upf
Tl 204.38 Tl.upf
C 12.01 C.upf
CELL_PARAMETERS angstrom
3.5935 0.0000 0.0000
-1.7967 3.1120 0.0000
0.0000 0.0000 16.1951
ATOMIC_POSITIONS crystal
Ho 0.0000 0.0000 0.0000
Ho 0.0000 0.0000 0.3351
Ho 0.6667 0.3333 0.8344
Er 0.6667 0.3333 0.5000
Tl 0.0000 0.0000 0.6667
Tl 0.6667 0.3333 0.1674
C 0.3333 0.6667 0.4177
C 0.3333 0.6667 0.9173

***

[6]
! HoErTlC | OQMD via LeMat-Bulk | PBE | relaxed; values from VASP
! - VASP energy: -44.6 eV for the cell shown
! - Space-group type: P6_3mc (186)
&SYSTEM
  ibrav = 0, nat = 8, ntyp = 4
/
ATOMIC_SPECIES
Ho 164.93 Ho.upf
Er 167.26 Er.upf
Tl 204.38 Tl.upf
C 12.01 C.upf
CELL_PARAMETERS angstrom
3.5860 0.0000 0.0000
-1.7930 3.1056 0.0000
0.0000 0.0000 16.1740
ATOMIC_POSITIONS crystal
Ho 0.3333 0.6667 0.0000
Ho 0.6667 0.3333 0.5000
Er 0.3333 0.6667 0.6658
Er 0.6667 0.3333 0.1658
Tl 0.3333 0.6667 0.3324
Tl 0.6667 0.3333 0.8324
C 0.0000 0.0000 0.0832
C 0.0000 0.0000 0.5832

***

[7]
! HoErTlC | OQMD via LeMat-Bulk | PBE | relaxed; values from VASP
! - VASP energy: -44.6 eV for the cell shown
! - Space-group type: P-6m2 (187)
&SYSTEM
  ibrav = 0, nat = 8, ntyp = 4
/
ATOMIC_SPECIES
Ho 164.93 Ho.upf
Er 167.26 Er.upf
Tl 204.38 Tl.upf
C 12.01 C.upf
CELL_PARAMETERS angstrom
3.5851 0.0000 0.0000
-1.7926 3.1048 0.0000
0.0000 0.0000 16.1774
ATOMIC_POSITIONS crystal
Ho 0.0000 0.0000 0.1673
Ho 0.0000 0.0000 0.8327
Er 0.6667 0.3333 0.3332
Er 0.6667 0.3333 0.6668
Tl 0.0000 0.0000 0.5000
Tl 0.6667 0.3333 0.0000
C 0.3333 0.6667 0.2504
C 0.3333 0.6667 0.7496

***

[8]
! HoErTlC | OQMD via LeMat-Bulk | PBE | relaxed; values from VASP
! - VASP energy: -44.6 eV for the cell shown
! - Space-group type: P-3m1 (164)
&SYSTEM
  ibrav = 0, nat = 8, ntyp = 4
/
ATOMIC_SPECIES
Ho 164.93 Ho.upf
Er 167.26 Er.upf
Tl 204.38 Tl.upf
C 12.01 C.upf
CELL_PARAMETERS angstrom
3.5858 0.0000 0.0000
-1.7929 3.1054 0.0000
0.0000 0.0000 16.1756
ATOMIC_POSITIONS crystal
Ho 0.3333 0.6667 0.4167
Ho 0.6667 0.3333 0.5833
Er 0.3333 0.6667 0.0825
Er 0.6667 0.3333 0.9175
Tl 0.3333 0.6667 0.7505
Tl 0.6667 0.3333 0.2495
C 0.0000 0.0000 0.0000
C 0.0000 0.0000 0.5000

***

[9]
! HoErTm2C3 | OQMD via LeMat-Bulk | PBE | relaxed; values from VASP
! - VASP energy: -47.7 eV for the cell shown
! - Space-group type: Cm (8)
&SYSTEM
  ibrav = 0, nat = 7, ntyp = 4
/
ATOMIC_SPECIES
Ho 164.93 Ho.upf
Er 167.26 Er.upf
Tm 168.93 Tm.upf
C 12.01 C.upf
CELL_PARAMETERS angstrom
6.4093 -1.8239 0.0000
6.4093 1.8239 0.0000
-2.5601 0.0000 5.4418
ATOMIC_POSITIONS crystal
Ho 0.0000 0.0000 0.0000
Er 0.2715 0.2715 0.9888
Tm 0.5023 0.5023 0.5488
Tm 0.7691 0.7691 0.4399
C 0.3563 0.3563 0.7022
C 0.6360 0.6360 0.9944
C 0.9149 0.9149 0.2866

***

[10]
! HoErW2C3 | OQMD via LeMat-Bulk | PBE | relaxed; values from VASP
! - VASP energy: -65.3 eV for the cell shown
! - Space-group type: Cm (8)
&SYSTEM
  ibrav = 0, nat = 7, ntyp = 4
/
ATOMIC_SPECIES
Ho 164.93 Ho.upf
Er 167.26 Er.upf
W 183.84 W.upf
C 12.01 C.upf
CELL_PARAMETERS angstrom
5.8748 -1.6537 0.0000
5.8748 1.6537 0.0000
-2.1463 0.0000 5.2629
ATOMIC_POSITIONS crystal
Ho 0.0000 0.0000 0.0000
Er 0.2208 0.2208 0.6426
W 0.4551 0.4551 0.4940
W 0.7654 0.7654 0.1473
C 0.3612 0.3612 0.0838
C 0.6105 0.6105 0.8200
C 0.8588 0.8588 0.5575

***

[11]
! ErCI6 | OQMD via LeMat-Bulk | PBE | relaxed; values from VASP
! - VASP energy: -22.4 eV for the cell shown
! - Space-group type: R-3 (148)
&SYSTEM
  ibrav = 0, nat = 8, ntyp = 3
/
ATOMIC_SPECIES
Er 167.26 Er.upf
C 12.01 C.upf
I 126.90 I.upf
CELL_PARAMETERS angstrom
3.6156 2.0875 6.2783
-3.6156 2.0875 6.2783
0.0000 -4.1750 6.2783
ATOMIC_POSITIONS crystal
Er 0.0000 0.0000 0.0000
C 0.5000 0.5000 0.5000
I 0.1120 0.4226 0.7262
I 0.2738 0.8880 0.5774
I 0.4226 0.7262 0.1120
I 0.5774 0.2738 0.8880
I 0.7262 0.1120 0.4226
I 0.8880 0.5774 0.2738

***

[12]
! Nd2Er2CI5 | OQMD via LeMat-Bulk | PBE | relaxed; values from VASP
! - VASP energy: -46.6 eV for the cell shown
! - Space-group type: C2/m (12)
! - Distance to the lowest polymorph of the same formula: 0.00 eV per formula unit
&SYSTEM
  ibrav = 0, nat = 10, ntyp = 4
/
ATOMIC_SPECIES
Nd 144.24 Nd.upf
Er 167.26 Er.upf
C 12.01 C.upf
I 126.90 I.upf
CELL_PARAMETERS angstrom
9.7485 -2.0161 0.0000
9.7485 2.0161 0.0000
-1.9147 0.0000 8.6357
ATOMIC_POSITIONS crystal
Nd 0.0007 0.0007 0.3050
Nd 0.9993 0.9993 0.6950
Er 0.3748 0.3748 0.4381
Er 0.6252 0.6252 0.5619
C 0.5000 0.5000 0.5000
I 0.1662 0.1662 0.8247
I 0.1692 0.1692 0.3389
I 0.5000 0.5000 0.0000
I 0.8308 0.8308 0.6611
I 0.8338 0.8338 0.1753

***

[13]
! Nd2Er2CI5 | OQMD via LeMat-Bulk | PBE | relaxed; values from VASP
! - VASP energy: -46.5 eV for the cell shown
! - Space-group type: C2/m (12)
! - Distance to the lowest polymorph of the same formula: 0.17 eV per formula unit
&SYSTEM
  ibrav = 0, nat = 10, ntyp = 4
/
ATOMIC_SPECIES
Nd 144.24 Nd.upf
Er 167.26 Er.upf
C 12.01 C.upf
I 126.90 I.upf
CELL_PARAMETERS angstrom
9.4941 -1.9923 0.0000
9.4941 1.9923 0.0000
-1.9818 0.0000 8.5030
ATOMIC_POSITIONS crystal
Nd 0.1365 0.1365 0.0681
Nd 0.8635 0.8635 0.9319
Er 0.4996 0.4996 0.1847
Er 0.5004 0.5004 0.8153
C 0.0000 0.0000 0.0000
I 0.0000 0.0000 0.5000
I 0.3341 0.3341 0.1917
I 0.3391 0.3391 0.6480
I 0.6609 0.6609 0.3520
I 0.6659 0.6659 0.8083

***

[14]
! Pr2Er2CI5 | OQMD via LeMat-Bulk | PBE | relaxed; values from VASP
! - VASP energy: -46.4 eV for the cell shown
! - Space-group type: C2/m (12)
! - Distance to the lowest polymorph of the same formula: 0.19 eV per formula unit
&SYSTEM
  ibrav = 0, nat = 10, ntyp = 4
/
ATOMIC_SPECIES
Pr 140.91 Pr.upf
Er 167.26 Er.upf
C 12.01 C.upf
I 126.90 I.upf
CELL_PARAMETERS angstrom
9.4949 -1.9992 0.0000
9.4949 1.9992 0.0000
-1.9805 0.0000 8.5120
ATOMIC_POSITIONS crystal
Pr 0.1375 0.1375 0.0690
Pr 0.8625 0.8625 0.9310
Er 0.4995 0.4995 0.1850
Er 0.5005 0.5005 0.8150
C 0.0000 0.0000 0.0000
I 0.0000 0.0000 0.5000
I 0.3349 0.3349 0.1953
I 0.3396 0.3396 0.6450
I 0.6604 0.6604 0.3550
I 0.6651 0.6651 0.8047

***

[15]
! Pr2Er2CI5 | OQMD via LeMat-Bulk | PBE | relaxed; values from VASP
! - VASP energy: -46.6 eV for the cell shown
! - Space-group type: C2/m (12)
! - Distance to the lowest polymorph of the same formula: 0.00 eV per formula unit
&SYSTEM
  ibrav = 0, nat = 10, ntyp = 4
/
ATOMIC_SPECIES
Pr 140.91 Pr.upf
Er 167.26 Er.upf
C 12.01 C.upf
I 126.90 I.upf
CELL_PARAMETERS angstrom
9.7364 -2.0225 0.0000
9.7364 2.0225 0.0000
-1.9284 0.0000 8.6915
ATOMIC_POSITIONS crystal
Pr 0.0010 0.0010 0.3037
Pr 0.9990 0.9990 0.6963
Er 0.3744 0.3744 0.4380
Er 0.6256 0.6256 0.5620
C 0.5000 0.5000 0.5000
I 0.1671 0.1671 0.8231
I 0.1705 0.1705 0.3420
I 0.5000 0.5000 0.0000
I 0.8295 0.8295 0.6580
I 0.8329 0.8329 0.1769

***

[16]
! PrErCI | OQMD via LeMat-Bulk | PBE | relaxed; values from VASP
! - VASP energy: -22.9 eV for the cell shown
! - Space-group type: R3m (160)
&SYSTEM
  ibrav = 0, nat = 4, ntyp = 4
/
ATOMIC_SPECIES
Pr 140.91 Pr.upf
Er 167.26 Er.upf
C 12.01 C.upf
I 126.90 I.upf
CELL_PARAMETERS angstrom
1.9062 1.1006 7.6335
-1.9062 1.1006 7.6335
0.0000 -2.2011 7.6335
ATOMIC_POSITIONS crystal
Pr 0.0000 0.0000 0.0000
Er 0.5528 0.5528 0.5528
C 0.2689 0.2689 0.2689
I 0.7817 0.7817 0.7817

***

[17]
! Er2Sc2CI5 | OQMD via LeMat-Bulk | PBE | relaxed; values from VASP
! - VASP energy: -49.0 eV for the cell shown
! - Space-group type: C2/m (12)
! - Distance to the lowest polymorph of the same formula: 0.52 eV per formula unit
&SYSTEM
  ibrav = 0, nat = 10, ntyp = 4
/
ATOMIC_SPECIES
Er 167.26 Er.upf
Sc 44.96 Sc.upf
C 12.01 C.upf
I 126.90 I.upf
CELL_PARAMETERS angstrom
10.0224 -1.9395 0.0000
10.0224 1.9395 0.0000
-1.6827 0.0000 8.1174
ATOMIC_POSITIONS crystal
Er 0.1177 0.1177 0.0577
Er 0.8823 0.8823 0.9423
Sc 0.5000 0.5000 0.1792
Sc 0.5000 0.5000 0.8208
C 0.0000 0.0000 0.0000
I 0.0000 0.0000 0.5000
I 0.3470 0.3470 0.1884
I 0.3481 0.3481 0.6625
I 0.6519 0.6519 0.3375
I 0.6530 0.6530 0.8116

***

[18]
! Er2Sc2CI5 | OQMD via LeMat-Bulk | PBE | relaxed; values from VASP
! - VASP energy: -49.5 eV for the cell shown
! - Space-group type: C2/m (12)
! - Distance to the lowest polymorph of the same formula: 0.00 eV per formula unit
&SYSTEM
  ibrav = 0, nat = 10, ntyp = 4
/
ATOMIC_SPECIES
Er 167.26 Er.upf
Sc 44.96 Sc.upf
C 12.01 C.upf
I 126.90 I.upf
CELL_PARAMETERS angstrom
10.1525 -1.9299 0.0000
10.1525 1.9299 0.0000
-1.7101 0.0000 8.2489
ATOMIC_POSITIONS crystal
Er 0.0000 0.0000 0.1898
Er 0.0000 0.0000 0.8102
Sc 0.3878 0.3878 0.9450
Sc 0.6122 0.6122 0.0550
C 0.5000 0.5000 0.0000
I 0.1536 0.1536 0.3188
I 0.1540 0.1540 0.8317
I 0.5000 0.5000 0.5000
I 0.8460 0.8460 0.1683
I 0.8464 0.8464 0.6812

***

[19]
! SmErC2I2 | OQMD via LeMat-Bulk | PBE | relaxed; values from VASP
! - VASP energy: -35.9 eV for the cell shown
! - Space-group type: Cm (8)
&SYSTEM
  ibrav = 0, nat = 6, ntyp = 4
/
ATOMIC_SPECIES
Sm 150.36 Sm.upf
Er 167.26 Er.upf
C 12.01 C.upf
I 126.90 I.upf
CELL_PARAMETERS angstrom
3.6866 -1.9642 0.0000
3.6866 1.9642 0.0000
-0.6385 0.0000 11.3230
ATOMIC_POSITIONS crystal
Sm 0.0000 0.0000 0.0000
Er 0.7089 0.7089 0.7551
C 0.2782 0.2782 0.8980
C 0.4326 0.4326 0.8430
I 0.0328 0.0328 0.5719
I 0.6806 0.6806 0.1913

***

[20]
! ErTmC2I2 | OQMD via LeMat-Bulk | PBE | relaxed; values from VASP
! - VASP energy: -35.6 eV for the cell shown
! - Space-group type: Cm (8)
&SYSTEM
  ibrav = 0, nat = 6, ntyp = 4
/
ATOMIC_SPECIES
Er 167.26 Er.upf
Tm 168.93 Tm.upf
C 12.01 C.upf
I 126.90 I.upf
CELL_PARAMETERS angstrom
3.6208 -1.9244 0.0000
3.6208 1.9244 0.0000
-0.6803 0.0000 11.1067
ATOMIC_POSITIONS crystal
Er 0.0000 0.0000 0.0000
Tm 0.2911 0.2911 0.2417
C 0.5668 0.5668 0.1502
C 0.7239 0.7239 0.0933
I 0.3217 0.3217 0.8118
I 0.9688 0.9688 0.4292

***

[21]
! Er2Tm2CI5 | OQMD via LeMat-Bulk | PBE | relaxed; values from VASP
! - VASP energy: -45.7 eV for the cell shown
! - Space-group type: C2/m (12)
! - Distance to the lowest polymorph of the same formula: 0.00 eV per formula unit
&SYSTEM
  ibrav = 0, nat = 10, ntyp = 4
/
ATOMIC_SPECIES
Er 167.26 Er.upf
Tm 168.93 Tm.upf
C 12.01 C.upf
I 126.90 I.upf
CELL_PARAMETERS angstrom
9.6976 -1.9616 0.0000
9.6976 1.9616 0.0000
-1.8070 0.0000 8.2938
ATOMIC_POSITIONS crystal
Er 0.9997 0.9997 0.1879
Er 0.0003 0.0003 0.8121
Tm 0.3760 0.3760 0.9387
Tm 0.6240 0.6240 0.0613
C 0.5000 0.5000 0.0000
I 0.1604 0.1604 0.3364
I 0.1631 0.1631 0.8224
I 0.5000 0.5000 0.5000
I 0.8369 0.8369 0.1776
I 0.8396 0.8396 0.6636

***

[22]
! Er2Tm2CI5 | OQMD via LeMat-Bulk | PBE | relaxed; values from VASP
! - VASP energy: -45.6 eV for the cell shown
! - Space-group type: C2/m (12)
! - Distance to the lowest polymorph of the same formula: 0.02 eV per formula unit
&SYSTEM
  ibrav = 0, nat = 10, ntyp = 4
/
ATOMIC_SPECIES
Er 167.26 Er.upf
Tm 168.93 Tm.upf
C 12.01 C.upf
I 126.90 I.upf
CELL_PARAMETERS angstrom
9.7030 -1.9618 0.0000
9.7030 1.9618 0.0000
-1.8063 0.0000 8.2929
ATOMIC_POSITIONS crystal
Er 0.1242 0.1242 0.0613
Er 0.8758 0.8758 0.9387
Tm 0.4997 0.4997 0.1873
Tm 0.5003 0.5003 0.8127
C 0.0000 0.0000 0.0000
I 0.0000 0.0000 0.5000
I 0.3370 0.3370 0.1780
I 0.3396 0.3396 0.6633
I 0.6604 0.6604 0.3367
I 0.6630 0.6630 0.8220

***

[23]
! KEr4InC2 | OQMD via LeMat-Bulk | PBE | relaxed; values from VASP
! - VASP energy: -42.6 eV for the cell shown
! - Space-group type: P-6m2 (187)
&SYSTEM
  ibrav = 0, nat = 8, ntyp = 4
/
ATOMIC_SPECIES
K 39.10 K.upf
Er 167.26 Er.upf
In 114.82 In.upf
C 12.01 C.upf
CELL_PARAMETERS angstrom
3.5996 0.0000 0.0000
-1.7998 3.1173 0.0000
0.0000 0.0000 18.1253
ATOMIC_POSITIONS crystal
K 0.0000 0.0000 0.0000
Er 0.0000 0.0000 0.3550
Er 0.0000 0.0000 0.6450
Er 0.3333 0.6667 0.2095
Er 0.3333 0.6667 0.7905
In 0.3333 0.6667 0.5000
C 0.6667 0.3333 0.2766
C 0.6667 0.3333 0.7234

***

[24]
! ErLuInC | OQMD via LeMat-Bulk | PBE | relaxed; values from VASP
! - VASP energy: -45.7 eV for the cell shown
! - Space-group type: P-6m2 (187)
&SYSTEM
  ibrav = 0, nat = 8, ntyp = 4
/
ATOMIC_SPECIES
Er 167.26 Er.upf
Lu 174.97 Lu.upf
In 114.82 In.upf
C 12.01 C.upf
CELL_PARAMETERS angstrom
3.5386 0.0000 0.0000
-1.7693 3.0645 0.0000
0.0000 0.0000 16.1049
ATOMIC_POSITIONS crystal
Er 0.0000 0.0000 0.1692
Er 0.0000 0.0000 0.8308
Lu 0.3333 0.6667 0.3330
Lu 0.3333 0.6667 0.6670
In 0.0000 0.0000 0.5000
In 0.3333 0.6667 0.0000
C 0.6667 0.3333 0.2520
C 0.6667 0.3333 0.7480